Arrangement one

A plane-wave DFT calculation with GGA-PBE was carried out for a relaxed structure of Sc2AsAu2. Values from VASP.

Quantum ESPRESSO input file:
```
&SYSTEM
  ibrav = 0, nat = 10, ntyp = 3
/
ATOMIC_SPECIES
Au 196.97 Au.upf
Sc 44.96 Sc.upf
As 74.92 As.upf
CELL_PARAMETERS angstrom
7.4319 0.0000 0.0000
0.0000 7.4319 0.0000
0.0000 0.0000 3.6644
ATOMIC_POSITIONS crystal
Au 0.1318 0.3682 0.0000
Au 0.3682 0.8682 0.0000
Au 0.6318 0.1318 0.0000
Au 0.8682 0.6318 0.0000
Sc 0.8321 0.3321 0.5000
Sc 0.1679 0.6679 0.5000
Sc 0.6679 0.8321 0.5000
Sc 0.3321 0.1679 0.5000
As 0.0000 0.0000 0.0000
As 0.5000 0.5000 0.0000
```

Calculated values
Magnetization, μB/atom: 0.000

Arrangement two

A plane-wave DFT calculation with GGA-PBE was carried out for a relaxed structure of Sc2AsAu2. Values from VASP.

Quantum ESPRESSO input file:
```
&SYSTEM
  ibrav = 0, nat = 10, ntyp = 3
/
ATOMIC_SPECIES
Sc 44.96 Sc.upf
As 74.92 As.upf
Au 196.97 Au.upf
CELL_PARAMETERS angstrom
-3.0837 -1.8091 6.4346
-5.8890 -2.6167 -3.5579
1.6572 -3.4793 -0.1840
ATOMIC_POSITIONS crystal
Sc 0.6668 0.1668 0.0000
Sc 0.3332 0.8332 0.0000
Sc 0.8332 0.6668 0.0000
Sc 0.1668 0.3332 0.0000
As 0.5000 0.5000 0.0000
As 0.0000 0.0000 0.0000
Au 0.3661 0.1339 0.5000
Au 0.1339 0.6339 0.5000
Au 0.6339 0.8661 0.5000
Au 0.8661 0.3661 0.5000
```

Calculated values
Magnetization, μB/atom: 0.000

Q: Which of them is the least stable? A: arrangement two.

Arrangement one

A plane-wave DFT calculation with GGA-PBE was carried out for a relaxed structure of ScAsAuSe2. Values from VASP.

Quantum ESPRESSO input file:
```
&SYSTEM
  ibrav = 0, nat = 5, ntyp = 4
/
ATOMIC_SPECIES
As 74.92 As.upf
Au 196.97 Au.upf
Se 78.96 Se.upf
Sc 44.96 Sc.upf
CELL_PARAMETERS angstrom
5.1050 0.0000 0.0000
0.0000 5.1050 0.0000
0.0000 0.0000 4.8992
ATOMIC_POSITIONS crystal
As 0.0000 0.0000 0.5000
Au 0.0000 0.0000 0.0000
Se 0.0000 0.5000 0.0000
Se 0.5000 0.0000 0.0000
Sc 0.5000 0.5000 0.5000
```

Calculated values
Magnetization, μB/atom: 0.000

Arrangement two

A plane-wave DFT calculation with GGA-PBE was carried out for a relaxed structure of ScAsAuSe2. Values from VASP.

Quantum ESPRESSO input file:
```
&SYSTEM
  ibrav = 0, nat = 5, ntyp = 4
/
ATOMIC_SPECIES
Se 78.96 Se.upf
As 74.92 As.upf
Au 196.97 Au.upf
Sc 44.96 Sc.upf
CELL_PARAMETERS angstrom
-1.8997 4.1630 -2.1595
-4.6828 -1.8105 0.6294
-0.2624 2.3012 4.6669
ATOMIC_POSITIONS crystal
Se 0.0000 0.5000 0.0000
Se 0.5000 0.0000 0.0000
As 0.0000 0.0000 0.5000
Au 0.5000 0.5000 0.5000
Sc 0.0000 0.0000 0.0000
```

Calculated values
Magnetization, μB/atom: 0.000

Q: Which of them is the least stable? A: arrangement one.

Arrangement one

A plane-wave DFT calculation with GGA-PBE was carried out for a relaxed structure of As2Au2Se. Values from VASP.

Quantum ESPRESSO input file:
```
&SYSTEM
  ibrav = 0, nat = 10, ntyp = 3
/
ATOMIC_SPECIES
Se 78.96 Se.upf
Au 196.97 Au.upf
As 74.92 As.upf
CELL_PARAMETERS angstrom
-7.3524 -0.0097 -0.5577
0.1329 -7.1904 -1.6277
-0.2867 -0.8642 3.7943
ATOMIC_POSITIONS crystal
Se 0.5000 0.5000 0.0000
Se 0.0000 0.0000 0.0000
Au 0.8457 0.6543 0.0000
Au 0.6543 0.1543 0.0000
Au 0.1543 0.3457 0.0000
Au 0.3457 0.8457 0.0000
As 0.3798 0.1202 0.5000
As 0.8798 0.3798 0.5000
As 0.6202 0.8798 0.5000
As 0.1202 0.6202 0.5000
```

Calculated values
Magnetization, μB/atom: 0.000

Arrangement two

A plane-wave DFT calculation with GGA-PBE was carried out for a relaxed structure of As2Au2Se. Values from VASP.

Quantum ESPRESSO input file:
```
&SYSTEM
  ibrav = 0, nat = 10, ntyp = 3
/
ATOMIC_SPECIES
As 74.92 As.upf
Se 78.96 Se.upf
Au 196.97 Au.upf
CELL_PARAMETERS angstrom
-7.5192 -1.0426 0.7552
1.2550 -6.9340 2.9224
0.1355 1.4187 3.3079
ATOMIC_POSITIONS crystal
As 0.2998 0.7998 0.0000
As 0.2002 0.2998 0.0000
As 0.7998 0.7002 0.0000
As 0.7002 0.2002 0.0000
Se 0.5000 0.5000 0.0000
Se 0.0000 0.0000 0.0000
Au 0.3738 0.1262 0.5000
Au 0.1262 0.6262 0.5000
Au 0.8738 0.3738 0.5000
Au 0.6262 0.8738 0.5000
```

Calculated values
Magnetization, μB/atom: 0.000

Q: Which of them is the least stable? A: arrangement one.

Arrangement one

A plane-wave DFT calculation with GGA-PBE was carried out for a relaxed structure of SrAs2AuSe. Values from VASP.

Quantum ESPRESSO input file:
```
&SYSTEM
  ibrav = 0, nat = 5, ntyp = 4
/
ATOMIC_SPECIES
As 74.92 As.upf
Sr 87.62 Sr.upf
Se 78.96 Se.upf
Au 196.97 Au.upf
CELL_PARAMETERS angstrom
5.0447 0.0000 0.0000
0.0000 5.0447 0.0000
0.0000 0.0000 5.3823
ATOMIC_POSITIONS crystal
As 0.0000 0.5000 0.0000
As 0.5000 0.0000 0.0000
Sr 0.5000 0.5000 0.5000
Se 0.0000 0.0000 0.5000
Au 0.0000 0.0000 0.0000
```

Calculated values
Magnetization, μB/atom: 0.000

Arrangement two

A plane-wave DFT calculation with GGA-PBE was carried out for a relaxed structure of SrAs2AuSe. Values from VASP.

Quantum ESPRESSO input file:
```
&SYSTEM
  ibrav = 0, nat = 5, ntyp = 4
/
ATOMIC_SPECIES
As 74.92 As.upf
Sr 87.62 Sr.upf
Se 78.96 Se.upf
Au 196.97 Au.upf
CELL_PARAMETERS angstrom
5.7067 0.0000 0.0000
0.0000 5.7067 0.0000
0.0000 0.0000 5.5827
ATOMIC_POSITIONS crystal
As 0.5000 0.0000 0.0000
As 0.0000 0.5000 0.0000
Sr 0.0000 0.0000 0.0000
Se 0.0000 0.0000 0.5000
Au 0.5000 0.5000 0.5000
```

Calculated values
Magnetization, μB/atom: 0.042

Q: Which of them is the least stable? A: arrangement two.